No. 1
First-principles (GGA-PBE) data for an optimized crystal structure of BaSmFe, as listed in OQMD via LeMat-Bulk.

Summary:
energy above the most stable polymorph in this dataset: 0 meV per atom
electronic total energy: -3.942 eV per atom
ρ: 6.10 g cm⁻³

Unit cell a=5.0956 b=5.0956 c=5.0956 alpha=60.00 beta=60.00 gamma=60.00
With the nearest neighbours (Å) after each atom.
Fractional positions:
Fe 0.7500 0.7500 0.7500  4 Sm 3.12
Sm 0.0000 0.0000 0.0000  4 Fe 3.12, 4 Ba 3.12
Ba 0.2500 0.2500 0.2500  4 Sm 3.12

---

No. 2
First-principles (GGA-PBE) data for an optimized crystal structure of Er3Zr3FeTe2, as listed in OQMD via LeMat-Bulk.

Summary:
energy above the most stable polymorph in this dataset: 174 meV per atom
electronic total energy: -6.422 eV per atom
ρ: 8.70 g cm⁻³

Unit cell a=8.0673 b=8.0673 c=3.6786 alpha=90.00 beta=90.00 gamma=120.00
With the nearest neighbours (Å) after each atom.
Fractional positions:
Er 0.2397 0.0000 0.5000  2 Fe 2.67
Er 0.0000 0.2397 0.5000  2 Fe 2.67
Er 0.7603 0.7603 0.5000  2 Fe 2.67
Zr 0.5955 0.0000 0.0000  4 Te 3.07, 1 Fe 3.26, 6 Er 3.39-3.41
Zr 0.0000 0.5955 0.0000  4 Te 3.07, 1 Fe 3.26, 6 Er 3.39-3.41
Zr 0.4045 0.4045 0.0000  4 Te 3.07, 1 Fe 3.26, 6 Er 3.39-3.41
Te 0.6667 0.3333 0.5000  6 Zr 3.07, 3 Er 3.14
Te 0.3333 0.6667 0.5000  6 Zr 3.07, 3 Er 3.14
Fe 0.0000 0.0000 0.0000  6 Er 2.67

---

No. 3
First-principles (GGA-PBE) data for an optimized crystal structure of NdOsPb2O6, as listed in OQMD via LeMat-Bulk.

Summary:
energy above the most stable polymorph in this dataset: 0 meV per atom
electronic total energy: -6.911 eV per atom
ρ: 9.51 g cm⁻³

Unit cell a=5.8328 b=5.8328 c=5.8328 alpha=62.29 beta=62.29 gamma=62.29
With the nearest neighbours (Å) after each atom.
Fractional positions:
O 0.6472 0.2919 0.8095  1 Os 1.98
O 0.3528 0.7081 0.1905  1 Os 1.98
O 0.7081 0.1905 0.3528  1 Os 1.98
O 0.1905 0.3528 0.7081  1 Os 1.98
O 0.8095 0.6472 0.2919  1 Os 1.98
O 0.2919 0.8095 0.6472  1 Os 1.98
Nd 0.0000 0.0000 0.0000  6 O 2.34
Pb 0.2636 0.2636 0.2636  6 O 2.54-2.68
Pb 0.7364 0.7364 0.7364  6 O 2.54-2.68
Os 0.5000 0.5000 0.5000  6 O 1.98